Entry 1:
Computed, not measured: crystalline HfBF3 at its relaxed geometry at the GGA-PBE level of DFT.

Computed properties:
Size of the total moment, μB/cell: 2.0
Energy above the lowest structure with this stoichiometry, meV/atom: 0
Space group: Pm-3m (221)
Uncorrected energy, eV per cell: -29.610

abc: 4.1809 4.1809 4.1809
angles: 90.00 90.00 90.00
Fractional coordinates of all 5 atoms:
Hf (0.0000, 0.0000, 0.0000)
B (0.5000, 0.5000, 0.5000)
F (0.0000, 0.0000, 0.5000)
F (0.0000, 0.5000, 0.0000)
F (0.5000, 0.0000, 0.0000)

---

Entry 2:
Computed, not measured: crystalline Hf3BF at its relaxed geometry at the GGA-PBE level of DFT.

Computed properties:
Size of the total moment, μB/cell: 0.0
Energy above the lowest structure with this stoichiometry, meV/atom: 0
Space group: Pm-3m (221)
Uncorrected energy, eV per cell: -38.332

abc: 4.5792 4.5792 4.5792
angles: 90.00 90.00 90.00
Fractional coordinates of all 5 atoms:
Hf (0.0000, 0.0000, 0.5000)
Hf (0.0000, 0.5000, 0.0000)
Hf (0.5000, 0.0000, 0.0000)
B (0.0000, 0.0000, 0.0000)
F (0.5000, 0.5000, 0.5000)

---

Entry 3:
Computed, not measured: crystalline HfBF3 at its relaxed geometry at the GGA-PBE level of DFT.

Computed properties:
Size of the total moment, μB/cell: 1.9
Energy above the lowest structure with this stoichiometry, meV/atom: 1103
Space group: Pm-3m (221)
Uncorrected energy, eV per cell: -24.093

abc: 3.9828 3.9828 3.9828
angles: 90.00 90.00 90.00
Fractional coordinates of all 5 atoms:
Hf (0.0000, 0.0000, 0.0000)
B (0.5000, 0.5000, 0.5000)
F (0.0000, 0.5000, 0.5000)
F (0.5000, 0.0000, 0.5000)
F (0.5000, 0.5000, 0.0000)

---

Entry 4:
Computed, not measured: crystalline HfHgBF2 at its relaxed geometry at the GGA-PBE level of DFT.

Computed properties:
Size of the total moment, μB/cell: 1.1
Space group: P4/mmm (123)
Uncorrected energy, eV per cell: -18.377

abc: 4.1443 4.1443 6.2163
angles: 90.00 90.00 90.00
Fractional coordinates of all 5 atoms:
Hf (0.0000, 0.0000, 0.0000)
Hg (0.0000, 0.0000, 0.5000)
B (0.5000, 0.5000, 0.0000)
F (0.0000, 0.5000, 0.5000)
F (0.5000, 0.0000, 0.5000)

---

Entry 5:
Computed, not measured: crystalline Hf2InBF at its relaxed geometry at the GGA-PBE level of DFT.

Computed properties:
Size of the total moment, μB/cell: 0.0
Space group: P4/mmm (123)
Uncorrected energy, eV per cell: -24.976

abc: 5.3651 5.3651 3.9798
angles: 90.00 90.00 90.00
Fractional coordinates of all 5 atoms:
Hf (0.0000, 0.5000, 0.0000)
Hf (0.5000, 0.0000, 0.0000)
In (0.0000, 0.0000, 0.0000)
B (0.0000, 0.0000, 0.5000)
F (0.5000, 0.5000, 0.5000)

---

Entry 6:
Computed, not measured: crystalline LaHfB2F at its relaxed geometry at the GGA-PBE level of DFT.

Computed properties:
Size of the total moment, μB/cell: 0.0
Space group: P4/mmm (123)
Uncorrected energy, eV per cell: -27.729

abc: 4.4338 4.4338 4.3236
angles: 90.00 90.00 90.00
Fractional coordinates of all 5 atoms:
La (0.0000, 0.0000, 0.0000)
Hf (0.5000, 0.5000, 0.0000)
B (0.0000, 0.5000, 0.5000)
B (0.5000, 0.0000, 0.5000)
F (0.0000, 0.0000, 0.5000)

---

Entry 7:
Computed, not measured: crystalline HfMg2BF at its relaxed geometry at the GGA-PBE level of DFT.

Computed properties:
Size of the total moment, μB/cell: 0.0
Space group: P4/mmm (123)
Uncorrected energy, eV per cell: -22.201

abc: 3.9515 3.9515 4.9851
angles: 90.00 90.00 90.00
Fractional coordinates of all 5 atoms:
Hf (0.0000, 0.0000, 0.0000)
Mg (0.0000, 0.5000, 0.5000)
Mg (0.5000, 0.0000, 0.5000)
B (0.5000, 0.5000, 0.0000)
F (0.0000, 0.0000, 0.5000)

---

Entry 8:
Computed, not measured: crystalline HfBN2F at its relaxed geometry at the GGA-PBE level of DFT.

Computed properties:
Size of the total moment, μB/cell: 0.0
Energy above the lowest structure with this stoichiometry, meV/atom: 0
Space group: P4/mmm (123)
Uncorrected energy, eV per cell: -38.153

abc: 3.5536 3.5536 3.2630
angles: 90.00 90.00 90.00
Fractional coordinates of all 5 atoms:
Hf (0.0000, 0.0000, 0.0000)
B (0.5000, 0.5000, 0.5000)
N (0.0000, 0.5000, 0.5000)
N (0.5000, 0.0000, 0.5000)
F (0.5000, 0.5000, 0.0000)

---

Entry 9:
Computed, not measured: crystalline HfBN2F at its relaxed geometry at the GGA-PBE level of DFT.

Computed properties:
Size of the total moment, μB/cell: 0.0
Energy above the lowest structure with this stoichiometry, meV/atom: 2253
Space group: P4/mmm (123)
Uncorrected energy, eV per cell: -26.888

abc: 3.9731 3.9731 3.8681
angles: 90.00 90.00 90.00
Fractional coordinates of all 5 atoms:
Hf (0.0000, 0.0000, 0.0000)
B (0.5000, 0.5000, 0.0000)
N (0.0000, 0.5000, 0.5000)
N (0.5000, 0.0000, 0.5000)
F (0.0000, 0.0000, 0.5000)

---

Entry 10:
Computed, not measured: crystalline HfBN2F at its relaxed geometry at the GGA-PBE level of DFT.

Computed properties:
Size of the total moment, μB/cell: 1.2
Energy above the lowest structure with this stoichiometry, meV/atom: 921
Space group: P4/mmm (123)
Uncorrected energy, eV per cell: -33.547

abc: 4.1988 4.1988 4.0933
angles: 90.00 90.00 90.00
Fractional coordinates of all 5 atoms:
Hf (0.0000, 0.0000, 0.0000)
B (0.5000, 0.5000, 0.5000)
N (0.0000, 0.5000, 0.0000)
N (0.5000, 0.0000, 0.0000)
F (0.0000, 0.0000, 0.5000)

---

Entry 11:
Computed, not measured: crystalline HfNb2BF at its relaxed geometry at the GGA-PBE level of DFT.

Computed properties:
Size of the total moment, μB/cell: 0.0
Space group: P4/mmm (123)
Uncorrected energy, eV per cell: -37.908

abc: 4.0784 4.0784 4.7661
angles: 90.00 90.00 90.00
Fractional coordinates of all 5 atoms:
Hf (0.0000, 0.0000, 0.0000)
Nb (0.0000, 0.5000, 0.5000)
Nb (0.5000, 0.0000, 0.5000)
B (0.5000, 0.5000, 0.0000)
F (0.5000, 0.5000, 0.5000)

---

Entry 12:
Computed, not measured: crystalline HfBOF2 at its relaxed geometry at the GGA-PBE level of DFT.

Computed properties:
Size of the total moment, μB/cell: 0.0
Energy above the lowest structure with this stoichiometry, meV/atom: 538
Space group: P4/mmm (123)
Uncorrected energy, eV per cell: -30.852

abc: 4.6368 4.6368 2.6645
angles: 90.00 90.00 90.00
Fractional coordinates of all 5 atoms:
Hf (0.0000, 0.0000, 0.0000)
B (0.5000, 0.5000, 0.5000)
O (0.5000, 0.5000, 0.0000)
F (0.0000, 0.5000, 0.5000)
F (0.5000, 0.0000, 0.5000)

---

Question: Among the records above, which one has the highest size of the total moment?
Answer: number 1

---

Question: What is the size of the total moment in the eleventh record?
Answer: 0.0 μB/cell

---

Question: The highest uncorrected energy belongs to which entry?
Answer: HfHgBF2